No. 1
3
Lattice="-0.0983 3.3632 1.8223 0.4869 -1.7970 3.3429 5.9222 -0.2709 -3.1980" Properties=species:S:1:pos:R:3 comment="KCdGa | Alexandria via LeMat-Bulk | GGA-PBE | optimized geometry" dos_ef_per_ev_cell=1.0 formation_enthalpy_0k_ev_per_atom=0.002 total_magnetization_mub_per_cell=0.00 total_energy_ev_per_cell=-5.0 relative_energy_mev_per_atom=70 pbc="T T T"
K 0.0305 0.0026 -0.0031
Ga 2.7183 0.9944 2.3286
Cd 3.5621 0.2983 -0.3584

No. 2
11
Lattice="6.7465 -0.0027 -0.8944 0.0031 7.2818 0.0034 -1.3130 -0.0022 6.6776" Properties=species:S:1:pos:R:3 comment="Nd7Si2Ge2 | Alexandria via LeMat-Bulk | GGA-PBE | optimized geometry" dos_ef_per_ev_cell=11.0 total_magnetization_mub_per_cell=0.00 total_energy_ev_per_cell=-57.0 formation_energy_uncorrected_ev_per_atom=-0.325 pbc="T T T"
Ge 4.4549 7.2790 1.2648
Ge 0.9816 -0.0022 4.5218
Si 4.5778 3.6367 4.8726
Si 0.8587 3.6401 0.9140
Nd 0.0000 0.0000 0.0000
Nd 3.3716 2.0960 -0.4446
Nd 2.0649 5.1808 6.2312
Nd 2.7157 1.8957 2.8942
Nd -0.6525 5.1833 3.3388
Nd 6.0890 2.0935 2.4478
Nd 2.7208 5.3811 2.8924

No. 3
6
Lattice="4.4998 -0.0008 0.0000 -2.2489 3.8975 0.0000 0.0000 0.0000 8.3571" Properties=species:S:1:pos:R:3 comment="AcAsPd | Alexandria via LeMat-Bulk | GGA-PBE | optimized geometry" dos_ef_per_ev_cell=1.0 formation_enthalpy_0k_ev_per_atom=-1.217 total_magnetization_mub_per_cell=0.00 total_energy_ev_per_cell=-35.2 relative_energy_mev_per_atom=0 pbc="T T T"
As 1.1249 3.2479 6.2678
As 1.1259 0.6488 2.0893
Pd 1.1267 3.2468 2.0893
Pd 1.1242 0.6498 6.2678
Ac -1.1245 1.9488 4.1785
Ac -1.1245 1.9488 0.0000

No. 4
8
Lattice="4.2617 0.0000 0.0000 2.1308 3.6907 0.0000 2.1308 1.2302 8.7943" Properties=species:S:1:pos:R:3 comment="SmAl4CuPt2 | Alexandria via LeMat-Bulk | GGA-PBE | optimized geometry" dos_ef_per_ev_cell=2.9 formation_enthalpy_0k_ev_per_atom=-0.771 total_magnetization_mub_per_cell=0.00 total_energy_ev_per_cell=-42.0 pbc="T T T"
Al 4.2617 2.4605 1.8740
Al 6.3925 3.6907 3.5121
Al 4.2617 2.4605 6.9203
Al 2.1308 1.2302 5.2822
Sm 0.0000 0.0000 0.0000
Pt 6.3925 3.6907 6.2228
Pt 2.1308 1.2302 2.5715
Cu 4.2617 2.4605 4.3971

No. 5
4
Lattice="-4.2919 -2.4467 -0.8991 4.0569 -2.7663 1.0511 -0.7564 0.1291 3.2595" Properties=species:S:1:pos:R:3 comment="TcHg2P | Alexandria via LeMat-Bulk | GGA-PBE | optimized geometry" dos_ef_per_ev_cell=3.0 formation_enthalpy_0k_ev_per_atom=0.712 total_magnetization_mub_per_cell=0.81 total_energy_ev_per_cell=-13.5 pbc="T T T"
P -0.3782 0.0646 1.6297
Tc -0.4957 -2.5420 1.7057
Hg -2.1460 -1.2234 -0.4496
Hg 2.0284 -1.3832 0.5255

No. 6
19
Lattice="-4.3514 2.5943 -4.9977 0.4133 -9.6520 -0.3036 -7.3281 1.8092 7.3195" Properties=species:S:1:pos:R:3 comment="Pm12Tl2Sn5 | Alexandria via LeMat-Bulk | GGA-PBE | optimized geometry" dos_ef_per_ev_cell=21.5 formation_enthalpy_0k_ev_per_atom=-0.318 total_magnetization_mub_per_cell=0.00 total_energy_ev_per_cell=-87.8 pbc="T T T"
Sn -8.7953 -0.0183 2.5818
Sn -5.8148 -3.7588 3.1116
Sn -5.4515 -1.4897 -1.0934
Sn -2.4710 -5.2302 -0.5636
Sn -3.6640 0.9046 3.6598
Pm -6.7014 -4.3682 6.0408
Pm -7.8181 0.4538 -0.4453
Pm -5.7385 -0.7860 1.9431
Pm -4.1346 1.5616 -0.6560
Pm -8.8259 -3.1016 3.6009
Pm -6.2279 -0.1169 5.3618
Pm -2.4404 -2.1470 -1.5827
Pm -7.1316 -6.8102 2.6742
Pm -3.4482 -5.7024 2.4634
Pm -4.5648 -0.8804 -4.0227
Pm -5.5277 -4.4625 0.0750
Pm -5.0384 -5.1316 -3.3436
Tl -0.9723 0.5797 -1.1167
Tl -3.3791 2.0146 -3.8810

No. 7
10
Lattice="3.7522 0.0000 0.0000 0.0000 3.7522 0.0000 0.0000 0.0000 10.8074" Properties=species:S:1:pos:R:3 comment="Sc2AlGa3Ni4 | Alexandria via LeMat-Bulk | GGA-PBE | optimized geometry" dos_ef_per_ev_cell=7.6 formation_enthalpy_0k_ev_per_atom=-0.521 total_magnetization_mub_per_cell=0.00 total_energy_ev_per_cell=-53.8 pbc="T T T"
Al 1.8761 1.8761 5.4037
Ga 0.0000 1.8761 1.4791
Ga 0.0000 0.0000 5.4037
Ga 1.8761 0.0000 9.3283
Ni 1.8761 0.0000 6.9879
Ni 1.8761 1.8761 0.0000
Ni 0.0000 0.0000 0.0000
Ni 0.0000 1.8761 3.8195
Sc 0.0000 1.8761 8.0229
Sc 1.8761 0.0000 2.7845

No. 8
4
Lattice="-4.5909 1.3030 0.6315 0.2770 -1.3021 4.7003 1.4431 4.5190 1.1668" Properties=species:S:1:pos:R:3 comment="Y2ThHg | Alexandria via LeMat-Bulk | GGA-PBE | optimized geometry" dos_ef_per_ev_cell=6.3 formation_enthalpy_0k_ev_per_atom=-0.092 total_magnetization_mub_per_cell=0.00 total_energy_ev_per_cell=-21.0 relative_energy_mev_per_atom=170 pbc="T T T"
Hg -1.4354 2.2599 3.2493
Th -2.2954 0.6515 0.3157
Y 0.7215 2.2595 0.5834
Y 0.1385 -0.6510 2.3502